w.
First-principles (PBE) data for a relaxed HgIr2N crystal, as listed in Alexandria.

```
data_HgIr2N
_chemical_formula_sum 'Hg1 Ir2 N1'
_space_group_name_H-M_alt 'P 1'
_space_group_IT_number 1
_cell_length_a 4.378
_cell_length_b 4.378
_cell_length_c 4.378
_cell_angle_alpha 60.00
_cell_angle_beta 60.00
_cell_angle_gamma 60.00
loop_
_space_group_symop_operation_xyz
'x,y,z'
loop_
_atom_site_label
_atom_site_type_symbol
_atom_site_fract_x
_atom_site_fract_y
_atom_site_fract_z
Hg1 Hg 0.000 0.000 0.000
Ir1 Ir 0.250 0.250 0.250
Ir2 Ir 0.750 0.750 0.750
N1 N 0.500 0.500 0.500
```



x.
First-principles (PBE) data for a relaxed HgIr2N crystal, as listed in Alexandria.

```
data_HgIr2N
_chemical_formula_sum 'Hg2 Ir4 N2'
_space_group_name_H-M_alt 'P 1'
_space_group_IT_number 1
_cell_length_a 5.494
_cell_length_b 5.494
_cell_length_c 5.494
_cell_angle_alpha 108.37
_cell_angle_beta 108.37
_cell_angle_gamma 111.70
loop_
_space_group_symop_operation_xyz
'x,y,z'
loop_
_atom_site_label
_atom_site_type_symbol
_atom_site_fract_x
_atom_site_fract_y
_atom_site_fract_z
Hg1 Hg 0.000 0.000 0.000
Hg2 Hg 0.750 0.250 0.500
Ir1 Ir 0.256 0.125 0.631
Ir2 Ir 0.375 0.744 0.869
Ir3 Ir 0.494 0.625 0.369
Ir4 Ir 0.875 0.506 0.131
N1 N 0.250 0.750 0.500
N2 N 0.500 0.500 0.000
```



Consider the structures shown above. The least stable of them is w.